No. 1
This record from Alexandria describes crystalline Pr3Tl2Ag2 at its relaxed geometry. The functional is PBE.

```
Pr3Tl2Ag2
1.0
2.351 -11.485 0.000
2.351 11.485 0.000
0.000 0.000 3.569
Pr Tl Ag
3 2 2
Direct
0.000 0.000 0.000 Pr
0.161 0.839 0.000 Pr
0.839 0.161 0.000 Pr
0.420 0.580 0.500 Tl
0.580 0.420 0.500 Tl
0.284 0.716 0.500 Ag
0.716 0.284 0.500 Ag
```

The space-group type is No. 65. Its crystal system is orthorhombic.

=====

No. 2
This record from Alexandria describes crystalline Pr6Tl2Ag at its relaxed geometry. The functional is PBE.

```
Pr6Tl2Ag
1.0
9.208 0.000 0.000
-4.604 7.974 0.000
0.000 0.000 3.879
Pr Tl Ag
6 2 1
Direct
0.000 0.397 0.000 Pr
0.000 0.734 0.500 Pr
0.266 0.266 0.500 Pr
0.397 0.000 0.000 Pr
0.603 0.603 0.000 Pr
0.734 0.000 0.500 Pr
0.333 0.667 0.500 Tl
0.667 0.333 0.500 Tl
0.000 0.000 0.000 Ag
```

The space-group type is No. 189. Its crystal system is hexagonal.

=====

No. 3
This record from Alexandria describes crystalline Pr3Tl2Ag at its relaxed geometry. The functional is PBE.

```
Pr3Tl2Ag
1.0
8.128 -3.333 0.000
8.128 3.333 0.000
-1.530 0.000 6.461
Pr Tl Ag
6 4 2
Direct
0.143 0.857 0.750 Pr
0.228 0.442 0.410 Pr
0.442 0.228 0.910 Pr
0.558 0.772 0.090 Pr
0.772 0.558 0.590 Pr
0.857 0.143 0.250 Pr
0.048 0.279 0.046 Tl
0.279 0.048 0.546 Tl
0.721 0.952 0.454 Tl
0.952 0.721 0.954 Tl
0.357 0.643 0.250 Ag
0.643 0.357 0.750 Ag
```

The space-group type is No. 15. Its crystal system is monoclinic.

=====

No. 4
This record from Alexandria describes crystalline Pr4Tl5Ag at its relaxed geometry. The functional is PBE.

```
Pr4Tl5Ag
1.0
5.346 0.000 0.000
0.007 6.637 0.000
2.664 2.304 8.253
Pr Tl Ag
4 5 1
Direct
0.091 0.317 0.318 Pr
0.307 0.185 0.885 Pr
0.693 0.815 0.115 Pr
0.909 0.683 0.682 Pr
0.101 0.829 0.301 Tl
0.289 0.674 0.923 Tl
0.500 0.000 0.500 Tl
0.711 0.326 0.077 Tl
0.899 0.171 0.699 Tl
0.500 0.500 0.500 Ag
```

The space-group type is No. 2. Its crystal system is triclinic.

=====

One value per record, in order, for total moment: 0.45, 0.00, 0.00, 0.00 μB per formula unit.
One value per record, in order, for energy of formation from the pure elements: -0.32, -0.22, -0.27, -0.31 eV/atom.